DFT (PBE) results for crystalline YHoEr2Tm2 at its relaxed geometry.

Results
Calculated total energy, hartree per atom: -0.172
Crystal system: orthorhombic

Unit cell a=3.4727 b=15.8928 c=6.9026 alpha=90.00 beta=90.00 gamma=90.00
Closest atoms and distances in Å follow each position.
Fractional positions:
Y  0.5000  0.5000  0.0000  2 Ho 3.45, 2 Y 3.47, 4 Tm 3.48, 4 Er 3.50
Y  0.0000  0.0000  0.5000  2 Ho 3.45, 2 Y 3.47, 4 Tm 3.48, 4 Er 3.50
Ho  0.0000  0.0000  0.0000  2 Y 3.45, 2 Ho 3.47, 4 Tm 3.48, 4 Er 3.49
Ho  0.5000  0.5000  0.5000  2 Y 3.45, 2 Ho 3.47, 4 Tm 3.48, 4 Er 3.49
Er  0.5000  0.8431  0.2495  4 Tm 3.44-3.46, 2 Er 3.47, 2 Ho 3.49, 2 Y 3.50
Er  0.5000  0.1569  0.7505  4 Tm 3.44-3.46, 2 Er 3.47, 2 Ho 3.49, 2 Y 3.50
Er  0.0000  0.6569  0.7495  4 Tm 3.44-3.46, 2 Er 3.47, 2 Ho 3.49, 2 Y 3.50
Er  0.0000  0.3431  0.2505  4 Tm 3.44-3.46, 2 Er 3.47, 2 Ho 3.49, 2 Y 3.50
Tm  0.5000  0.1558  0.2494  4 Er 3.44-3.46, 2 Tm 3.47, 2 Ho 3.48, 2 Y 3.48
Tm  0.0000  0.6558  0.2506  4 Er 3.44-3.46, 2 Tm 3.47, 2 Ho 3.48, 2 Y 3.48
Tm  0.5000  0.8442  0.7506  4 Er 3.44-3.46, 2 Tm 3.47, 2 Ho 3.48, 2 Y 3.48
Tm  0.0000  0.3442  0.7494  4 Er 3.44-3.46, 2 Tm 3.47, 2 Ho 3.48, 2 Y 3.48

=====

DFT (PBE) results for crystalline KHfH2OF5 at its relaxed geometry.

Results
Calculated total energy, hartree per atom: -0.222
Crystal system: monoclinic

Unit cell a=7.6088 b=11.2134 c=12.3070 alpha=90.00 beta=90.00 gamma=97.26
Closest atoms and distances in Å follow each position.
Fractional positions:
K  0.7074  0.8770  0.5256  8 F 2.70-2.96
K  0.2926  0.6230  0.0256  8 F 2.70-2.96
K  0.2926  0.1230  0.4744  8 F 2.70-2.96
K  0.7074  0.3770  0.9744  8 F 2.70-2.96
K  0.2005  0.6451  0.4584  7 F 2.67-2.91, 1 H 2.90, 1 O 2.91
K  0.7995  0.8549  0.9584  7 F 2.67-2.91, 1 H 2.90, 1 O 2.91
K  0.7995  0.3549  0.5416  7 F 2.67-2.91, 1 H 2.90, 1 O 2.91
K  0.2005  0.1451  0.0416  7 F 2.67-2.91, 1 H 2.90, 1 O 2.91
Hf  0.0211  0.8788  0.2640  6 F 2.00-2.17
Hf  0.9789  0.6212  0.7640  6 F 2.00-2.17
Hf  0.9789  0.1212  0.7360  6 F 2.00-2.17
Hf  0.0211  0.3788  0.2360  6 F 2.00-2.17
Hf  0.4679  0.8907  0.2577  6 F 2.00-2.19
Hf  0.5321  0.6093  0.7577  6 F 2.00-2.19
Hf  0.5321  0.1093  0.7423  6 F 2.00-2.19
Hf  0.4679  0.3907  0.2423  6 F 2.00-2.19
H  0.7479  0.7211  0.1600  1 O 0.98
H  0.2521  0.7789  0.6600  1 O 0.98
H  0.2521  0.2789  0.8400  1 O 0.98
H  0.7479  0.2211  0.3400  1 O 0.98
H  0.9189  0.6494  0.1549  1 O 1.00
H  0.0811  0.8506  0.6549  1 O 1.00
H  0.0811  0.3506  0.8451  1 O 1.00
H  0.9189  0.1494  0.3451  1 O 1.00
H  0.7415  0.0373  0.1460  1 O 0.99
H  0.2585  0.4627  0.6460  1 O 0.99
H  0.2585  0.9627  0.8540  1 O 0.99
H  0.7415  0.5373  0.3540  1 O 0.99
H  0.5804  0.1190  0.1502  1 O 1.00
H  0.4196  0.3810  0.6502  1 O 1.00
H  0.4196  0.8810  0.8498  1 O 1.00
H  0.5804  0.6190  0.3498  1 O 1.00
O  0.8780  0.7306  0.1568  2 H 0.98-1.00
O  0.1220  0.7694  0.6568  2 H 0.98-1.00
O  0.1220  0.2694  0.8432  2 H 0.98-1.00
O  0.8780  0.2306  0.3432  2 H 0.98-1.00
O  0.6115  0.0355  0.1466  2 H 0.99-1.00
O  0.3885  0.4645  0.6466  2 H 0.99-1.00
O  0.3885  0.9645  0.8534  2 H 0.99-1.00
O  0.6115  0.5355  0.3534  2 H 0.99-1.00
F  0.5340  0.7954  0.1268  1 H 1.96, 1 Hf 2.03
F  0.4660  0.7046  0.6268  1 H 1.96, 1 Hf 2.03
F  0.4660  0.2046  0.8732  1 H 1.96, 1 Hf 2.03
F  0.5340  0.2954  0.3732  1 H 1.96, 1 Hf 2.03
F  0.7450  0.8867  0.2788  2 Hf 2.12-2.13, 2 H 2.35-2.37
F  0.2550  0.6133  0.7788  2 Hf 2.12-2.13, 2 H 2.35-2.37
F  0.2550  0.1133  0.7212  2 Hf 2.12-2.13, 2 H 2.35-2.37
F  0.7450  0.3867  0.2212  2 Hf 2.12-2.13, 2 H 2.35-2.37
F  0.7886  0.7250  0.7026  2 Hf 2.11-2.31
F  0.2114  0.7750  0.2026  2 Hf 2.11-2.31
F  0.2114  0.2750  0.2974  2 Hf 2.11-2.31
F  0.7886  0.2250  0.7974  2 Hf 2.11-2.31
F  0.4897  0.7456  0.3537  1 H 1.66
F  0.5103  0.7544  0.8537  1 H 1.66
F  0.5103  0.2544  0.6463  1 H 1.66
F  0.4897  0.2456  0.1463  1 H 1.66
F  0.2762  0.9932  0.2007  2 Hf 2.09-2.32
F  0.7238  0.5068  0.7007  2 Hf 2.09-2.32
F  0.7238  0.0068  0.7993  2 Hf 2.09-2.32
F  0.2762  0.4932  0.2993  2 Hf 2.09-2.32
F  0.9921  0.9730  0.6441  1 H 1.61
F  0.0079  0.5270  0.1441  1 H 1.61
F  0.0079  0.0270  0.3559  1 H 1.61
F  0.9921  0.4730  0.8559  1 H 1.61
F  0.9417  0.7613  0.3820  1 Hf 2.00
F  0.0583  0.7387  0.8820  1 Hf 2.00
F  0.0583  0.2387  0.6180  1 Hf 2.00
F  0.9417  0.2613  0.1180  1 Hf 2.00
F  0.9555  0.9740  0.1308  1 H 1.87, 1 Hf 2.05
F  0.0445  0.5260  0.6308  1 H 1.87, 1 Hf 2.05
F  0.0445  0.0260  0.8692  1 H 1.87, 1 Hf 2.05
F  0.9555  0.4740  0.3692  1 H 1.87, 1 Hf 2.05
F  0.7531  0.6159  0.8727  2 Hf 2.17-2.19, 1 F 2.42
F  0.2469  0.8841  0.3727  2 Hf 2.17-2.19, 1 F 2.42
F  0.2469  0.3841  0.1273  2 Hf 2.17-2.19, 1 F 2.42
F  0.7531  0.1159  0.6273  2 Hf 2.17-2.19, 1 F 2.42
F  0.5433  0.0167  0.3696  1 Hf 2.00
F  0.4567  0.4833  0.8696  1 Hf 2.00
F  0.4567  0.9833  0.6304  1 Hf 2.00
F  0.5433  0.5167  0.1304  1 Hf 2.00

=====

Q: Which of these has the highest calculated total energy?
A: YHoEr2Tm2